No. 1
First-principles (PBE) data for an optimized crystal structure of Cs2NaI, as listed in the Alexandria database.

Cell: 5.5313 5.5313 11.1352 Å, 75.62 75.62 60.00°
Positions (direct):
Cs 0.0717 0.0717 0.7848
Cs 0.2617 0.2617 0.2148
Na 0.5000 0.5000 0.4999
I 0.6665 0.6665 0.0005

Summary:
As for the size of the total moment: 0.00 μB per formula unit. As for the energy relative to the elements, uncorrected: -67.29 kJ per mole of atoms.

=====

No. 2
First-principles (PBE) data for an optimized crystal structure of Na3LaTc, as listed in the Alexandria database.

Cell: 6.6451 8.1276 11.1001 Å, 90.00 90.00 90.00°
Positions (direct):
Na 0.0283 0.9331 0.8534
Na 0.4717 0.4331 0.3534
Na 0.4717 0.0669 0.3534
Na 0.9717 0.4331 0.1466
Na 0.9717 0.0669 0.1466
Na 0.5283 0.5669 0.6466
Na 0.5283 0.9331 0.6466
Na 0.0283 0.5669 0.8534
Na 0.3061 0.2500 0.6993
Na 0.1939 0.7500 0.1993
Na 0.6939 0.7500 0.3007
Na 0.8061 0.2500 0.8007
Tc 0.7936 0.2500 0.5297
Tc 0.7064 0.7500 0.0297
Tc 0.2064 0.7500 0.4703
Tc 0.2936 0.2500 0.9703
La 0.0000 0.0000 0.5000
La 0.5000 0.5000 0.0000
La 0.5000 0.0000 0.0000
La 0.0000 0.5000 0.5000

Summary:
For the calculated formation energy, the calculation gives 0.442 eV per atom. As for the size of the total moment: 0.00 μB per formula unit.

=====

No. 3
First-principles (PBE) data for an optimized crystal structure of MnAg2Mo, as listed in the Alexandria database.

Cell: 4.8437 4.8437 5.1720 Å, 81.59 81.59 32.95°
Site moments in Bohr magnetons follow the coordinates.
Positions (direct):
Ag 0.9992 0.9992 0.9955  0.01
Ag 0.7538 0.7538 0.7554  0.01
Mn 0.5028 0.5028 0.4781  3.36
Mo 0.2442 0.2442 0.2710  -0.51

Summary:
For the calculated formation energy, the calculation gives 0.468 eV per atom. As for the size of the total moment: 2.99 μB per formula unit.

=====

No. 4
First-principles (PBE) data for an optimized crystal structure of Si2AsO, as listed in the Alexandria database.

Cell: 4.4775 4.4775 6.9914 Å, 71.32 71.32 90.00°
Positions (direct):
As 0.0000 0.0000 0.0000
As 0.7500 0.2500 0.5000
Si 0.5102 0.1250 0.2500
Si 0.2398 0.6250 0.2500
Si 0.3750 0.4898 0.7500
Si 0.8750 0.7602 0.7500
O 0.5000 0.5000 0.0000
O 0.2500 0.7500 0.5000

Summary:
As for the size of the total moment: 0.00 μB per formula unit. As for the energy relative to the elements, uncorrected: -20.89 kJ per mole of atoms.

=====

No. 5
First-principles (PBE) data for an optimized crystal structure of Pr6Tl2Hg, as listed in the Alexandria database.

Cell: 6.5670 8.8183 10.4057 Å, 90.00 85.16 90.00°
Positions (direct):
Pr 0.8552 0.9487 0.2220
Pr 0.8660 0.6534 0.5508
Pr 0.8999 0.7031 0.9380
Pr 0.6001 0.2031 0.5620
Pr 0.6340 0.1534 0.9492
Pr 0.6448 0.4487 0.2780
Pr 0.1448 0.0513 0.7780
Pr 0.1340 0.3466 0.4492
Pr 0.1001 0.2969 0.0620
Pr 0.3999 0.7969 0.4380
Pr 0.3660 0.8466 0.0508
Pr 0.3552 0.5513 0.7220
Tl 0.9078 0.3818 0.7615
Tl 0.5922 0.8818 0.7385
Tl 0.4078 0.1182 0.2615
Tl 0.0922 0.6182 0.2385
Hg 0.5000 0.5000 0.0000
Hg 0.0000 0.0000 0.5000

Summary:
For the calculated formation energy, the calculation gives -0.198 eV per atom. As for the size of the total moment: 0.00 μB per formula unit.

=====

No. 6
First-principles (PBE) data for an optimized crystal structure of InSbW, as listed in the Alexandria database.

Cell: 4.9475 4.9475 2.9555 Å, 90.00 90.00 120.00°
Positions (direct):
In 0.0000 0.0000 0.0003
Sb 0.6667 0.3333 0.4999
W 0.3333 0.6667 0.4999

Summary:
As for the size of the total moment: 0.00 μB per formula unit. As for the energy relative to the elements, uncorrected: 66.18 kJ per mole of atoms.